#1
# TlIn2Ru SCAN single point on PBEsol structure
# calculated volume	158.5	Å³ per cell
data_TlIn2Ru
_chemical_formula_sum 'Tl2 In4 Ru2'
_cell_length_a 5.750
_cell_length_b 8.277
_cell_length_c 3.331
_cell_angle_alpha 90.00
_cell_angle_beta 90.00
_cell_angle_gamma 90.00
_space_group_name_H-M_alt 'C m m m'
_space_group_IT_number 65
_space_group_name_Hall '-C 2 2'
loop_
_atom_site_label
_atom_site_fract_x
_atom_site_fract_y
_atom_site_fract_z
_atom_site_occupancy
Tl1 0.000 0.000 0.000 1
In1 0.250 0.250 0.500 1
Ru1 0.000 0.500 0.000 1

#2
# TlIn2Ru SCAN single point on PBEsol structure
# calculated volume	255.8	Å³ per cell
data_TlIn2Ru
_chemical_formula_sum 'Tl3 In6 Ru3'
_cell_length_a 3.2516
_cell_length_b 3.2516
_cell_length_c 27.9373
_cell_angle_alpha 90.00
_cell_angle_beta 90.00
_cell_angle_gamma 120.00
_space_group_name_H-M_alt 'R -3 m'
_space_group_IT_number 166
_space_group_name_Hall '-R 3 2"'
loop_
_atom_site_label
_atom_site_fract_x
_atom_site_fract_y
_atom_site_fract_z
_atom_site_occupancy
Tl1 0.0000 0.0000 0.0000 1
In1 0.0000 0.0000 0.2362 1
Ru1 0.0000 0.0000 0.5000 1

#3
# TlIn2Ru SCAN single point on PBEsol structure
# calculated volume	323.3	Å³ per cell
data_TlIn2Ru
_chemical_formula_sum 'Tl4 In8 Ru4'
_cell_length_a 6.863
_cell_length_b 6.863
_cell_length_c 6.863
_cell_angle_alpha 90.00
_cell_angle_beta 90.00
_cell_angle_gamma 90.00
_space_group_name_H-M_alt 'F -4 3 m'
_space_group_IT_number 216
_space_group_name_Hall 'F -4 2 3'
loop_
_atom_site_label
_atom_site_fract_x
_atom_site_fract_y
_atom_site_fract_z
_atom_site_occupancy
Tl1 0.000 0.000 0.000 1
In1 0.000 0.000 0.500 1
In2 0.250 0.250 0.750 1
Ru1 0.250 0.250 0.250 1

Result of the stability comparison: #3 is the least stable of them.

#1
# InTeS2 SCAN single point on PBEsol structure
# calculated volume	320.9	Å³ per cell
data_InTeS2
_chemical_formula_sum 'In4 Te4 S8'
_cell_length_a 6.846
_cell_length_b 6.846
_cell_length_c 6.846
_cell_angle_alpha 90.00
_cell_angle_beta 90.00
_cell_angle_gamma 90.00
_space_group_name_H-M_alt 'F m -3 m'
_space_group_IT_number 225
_space_group_name_Hall '-F 4 2 3'
loop_
_atom_site_label
_atom_site_fract_x
_atom_site_fract_y
_atom_site_fract_z
_atom_site_occupancy
In1 0.000 0.000 0.000 1
Te1 0.000 0.000 0.500 1
S1 0.250 0.250 0.250 1

#2
# InTeS2 SCAN single point on PBEsol structure
# calculated volume	297.7	Å³ per cell
data_InTeS2
_chemical_formula_sum 'In3 Te3 S6'
_cell_length_a 3.7623
_cell_length_b 3.7623
_cell_length_c 24.2892
_cell_angle_alpha 90.00
_cell_angle_beta 90.00
_cell_angle_gamma 120.00
_space_group_name_H-M_alt 'R -3 m'
_space_group_IT_number 166
_space_group_name_Hall '-R 3 2"'
loop_
_atom_site_label
_atom_site_fract_x
_atom_site_fract_y
_atom_site_fract_z
_atom_site_occupancy
In1 0.0000 0.0000 0.0000 1
Te1 0.0000 0.0000 0.5000 1
S1 0.0000 0.0000 0.3927 1

Result of the stability comparison: #1 is the least stable of them.

#1
# InSiSb2 SCAN single point on PBEsol structure
# calculated volume	189.5	Å³ per cell
data_InSiSb2
_chemical_formula_sum 'In2 Si2 Sb4'
_cell_length_a 3.924
_cell_length_b 5.125
_cell_length_c 9.423
_cell_angle_alpha 90.00
_cell_angle_beta 90.00
_cell_angle_gamma 90.00
_space_group_name_H-M_alt 'C m m 2'
_space_group_IT_number 35
loop_
_space_group_symop_operation_xyz
'x,y,z'
'-x,-y,z'
'-x,y,z'
'x,-y,z'
'x+1/2,y+1/2,z'
'-x+1/2,-y+1/2,z'
'-x+1/2,y+1/2,z'
'x+1/2,-y+1/2,z'
loop_
_atom_site_label
_atom_site_fract_x
_atom_site_fract_y
_atom_site_fract_z
_atom_site_occupancy
In1 0.000 0.000 0.000 1
Si1 0.000 0.500 0.224 1
Sb1 0.000 0.000 0.434 1
Sb2 0.000 0.500 0.738 1

#2
# InSiSb2 SCAN single point on PBEsol structure
# calculated volume	93.6	Å³ per cell
data_InSiSb2
_chemical_formula_sum 'In1 Si1 Sb2'
_cell_length_a 3.649
_cell_length_b 5.051
_cell_length_c 5.077
_cell_angle_alpha 90.00
_cell_angle_beta 90.00
_cell_angle_gamma 90.00
_space_group_name_H-M_alt 'P m m m'
_space_group_IT_number 47
loop_
_space_group_symop_operation_xyz
'x,y,z'
'-x,-y,-z'
'-x,-y,z'
'x,y,-z'
'x,-y,-z'
'-x,y,z'
'-x,y,-z'
'x,-y,z'
loop_
_atom_site_label
_atom_site_fract_x
_atom_site_fract_y
_atom_site_fract_z
_atom_site_occupancy
In1 0.000 0.000 0.000 1
Si1 0.500 0.500 0.000 1
Sb1 0.000 0.500 0.500 1
Sb2 0.500 0.000 0.500 1

Result of the stability comparison: #2 is the least stable of them.